The following is a DFT calculation (PBE) of a relaxed structure of Rb2HfBCl6.

Summary:
- raw formation energy (eV per atom) = -1.176
- calculated total energy (eV per formula unit) = -41.40
- DOS at the Fermi energy (states/eV per atom) = 0.000
- total magnetic moment (μB per cell) = 1.00
- SG = I4/mmm

Cell: 7.278 7.278 7.822 Å, 62.28 62.28 90.00°
Site moments in Bohr magnetons follow the coordinates.
Fractional coordinates of all 10 atoms:
B: 0.500 0.500 0.000  0.30
Hf: 0.000 0.000 0.000  0.14
Rb: 0.750 0.250 0.500  0.00
Rb: 0.250 0.750 0.500  0.00
Cl: 0.211 0.211 0.578  0.01
Cl: 0.789 0.789 0.422  0.01
Cl: 0.239 0.239 0.000  0.00
Cl: 0.761 0.761 0.000  0.00
Cl: 0.761 0.239 0.000  0.00
Cl: 0.239 0.761 0.000  0.00